Material: MgPbBr2
Method: DFT, GGA-PBE
State: relaxed

Its crystal system is cubic. As for the uncorrected formation energy: -136.4 kJ/mol of formula units. The value obtained for the calculated volume is 456.56 Å³/cell. The polymorph energy (0 for the lowest one) comes out at 561 meV/atom. The calculation puts the final energy at -40.25 eV/cell.

The structure belongs to space group Fm-3m (No. 225); the cell edges are 7.700, 7.700 and 7.700 Å and the angles 90.00°, 90.00° and 90.00°. The asymmetric unit holds Mg at (0.000, 0.000, 0.000), Pb at (0.000, 0.000, 0.500) and Br at (0.250, 0.250, 0.250).